This record from Alexandria via LeMat-Bulk describes an optimized crystal structure of Tb4Al2O. The functional is PBE-GGA.

abc: 4.618 4.618 8.643
angles: 105.49 105.49 90.00
Fractional coordinates of all 7 atoms:
Tb: 0.828 0.828 0.656
Tb: 0.500 0.000 0.000
Tb: 0.172 0.172 0.344
Tb: 0.000 0.500 0.000
Al: 0.364 0.364 0.729
Al: 0.636 0.636 0.271
O: 0.000 0.000 0.000

Fermi-level density of states in states/eV per cell: 3.16
E_form (uncorrected) in eV/atom: -0.9968
Mass density in g/cm³: 6.87